Entry 1:
First-principles (GGA-PBE) data for a geometry-optimized HfUTcRu structure, as listed in the Alexandria database.

Computed properties:
E_tot   -10.51 eV/atom
ρ   13.94 g/cm3
M_tot   1.75 μB per formula unit
SG   F-43m, No. 216
Formation enthalpy at 0 K   -285 meV/atom

Unit cell a=4.6986 b=4.6986 c=4.6986 alpha=60.00 beta=60.00 gamma=60.00
With the nearest neighbours (Å) after each atom.
Atoms (fractional coordinates):
1 Hf 0.7500 0.7500 0.7500  4 Ru 2.88, 4 Tc 2.88
2 U 0.2500 0.2500 0.2500  4 Ru 2.88, 4 Tc 2.88
3 Tc 0.5000 0.5000 0.5000  4 U 2.88, 4 Hf 2.88
4 Ru 0.0000 0.0000 0.0000  4 Hf 2.88, 4 U 2.88

***

Entry 2:
First-principles (GGA-PBE) data for a geometry-optimized Pm7AlPb2 structure, as listed in the Alexandria database.

Computed properties:
E_tot   -4.63 eV/atom
ρ   7.40 g/cm3
M_tot   0.01 μB per formula unit
SG   P3m1, No. 156
Formation enthalpy at 0 K   -186 meV/atom

Unit cell a=5.3894 b=5.3894 c=12.9965 alpha=90.00 beta=90.00 gamma=120.00
With the nearest neighbours (Å) after each atom.
Atoms (fractional coordinates):
1 Pm 0.6667 0.3333 0.5927  4 Pb 3.14-3.39, 1 Pm 3.43
2 Pm 0.6667 0.3333 0.8566  8 Pm 3.26-3.55, 3 Al 3.61
3 Pm 0.0000 0.0000 0.7461  3 Pb 3.18, 1 Al 3.26, 3 Pm 3.43
4 Pm 0.0000 0.0000 0.2501  1 Al 3.29, 3 Pb 3.38, 3 Pm 3.62
5 Pm 0.3333 0.6667 0.4309  4 Pb 3.28-3.46
6 Pm 0.3333 0.6667 0.9877  3 Al 3.11, 3 Pm 3.48
7 Pm 0.6667 0.3333 0.1076  1 Pb 3.16, 4 Pm 3.26-3.48, 3 Al 3.43
8 Al 0.0000 0.0000 0.9968  8 Pm 3.11-3.43
9 Pb 0.3333 0.6667 0.6971  7 Pm 3.18-3.46
10 Pb 0.6667 0.3333 0.3510  8 Pm 3.14-3.38

***

Entry 3:
First-principles (GGA-PBE) data for a geometry-optimized Pr5Al2I2 structure, as listed in the Alexandria database.

Computed properties:
E_tot   -4.42 eV/atom
ρ   6.04 g/cm3
Uncorrected formation energy   -585 meV per atom
M_tot   0.00 μB per formula unit
SG   Cmce, No. 64

Unit cell a=8.3521 b=8.2595 c=9.0896 alpha=90.00 beta=62.65 gamma=90.00
With the nearest neighbours (Å) after each atom.
Atoms (fractional coordinates):
1 Pr 0.0000 0.0000 0.0000  2 I 3.28, 4 Al 3.31-3.33
2 Pr 0.5000 0.5000 0.0000  2 I 3.28, 4 Al 3.31-3.33
3 Pr 0.4576 0.1690 0.7411  3 Al 3.19-3.25, 3 I 3.30-3.36
4 Pr 0.8014 0.8310 0.7411  3 Al 3.19-3.25, 3 I 3.30-3.36
5 Pr 0.3014 0.6690 0.7411  3 Al 3.19-3.25, 3 I 3.30-3.36
6 Pr 0.9576 0.3310 0.7411  3 Al 3.19-3.25, 3 I 3.30-3.36
7 Pr 0.5424 0.8310 0.2589  3 Al 3.19-3.25, 3 I 3.30-3.36
8 Pr 0.1986 0.1690 0.2589  3 Al 3.19-3.25, 3 I 3.30-3.36
9 Pr 0.6986 0.3310 0.2589  3 Al 3.19-3.25, 3 I 3.30-3.36
10 Pr 0.0424 0.6690 0.2589  3 Al 3.19-3.25, 3 I 3.30-3.36
11 Al 0.1189 0.3825 0.0000  1 Al 2.78
12 Al 0.8811 0.6175 0.0000  1 Al 2.78
13 Al 0.3811 0.8825 0.0000  1 Al 2.78
14 Al 0.6189 0.1175 0.0000  1 Al 2.78
15 I 0.2031 0.0000 0.5938  7 Pr 3.28-3.36
16 I 0.7031 0.5000 0.5938  7 Pr 3.28-3.36
17 I 0.7969 0.0000 0.4062  7 Pr 3.28-3.36
18 I 0.2969 0.5000 0.4062  7 Pr 3.28-3.36